VASP calculation (PBE) on Ti3Mn4Mo after structural relaxation.

Output
energy of formation from the pure elements: -217 meV per atom
uncorrected energy: -9.116 eV per atom

Cell: 2.9818 2.9818 11.9382 Å, 90.00 90.00 90.00°
With the nearest neighbours (Å) after each atom.
Space group P4/mmm (No. 123)
One atom of each set of equivalent atoms:
Ti (0.0000, 0.0000, 0.0000) x1  8 Mn 2.59
Ti (0.0000, 0.0000, 0.2484) x2  8 Mn 2.57-2.61
Mn (0.5000, 0.5000, 0.1256) x2  8 Ti 2.57-2.59
Mn (0.5000, 0.5000, 0.3776) x2  4 Mo 2.57, 4 Ti 2.61
Mo (0.0000, 0.0000, 0.5000) x1  8 Mn 2.57


VASP calculation (PBE) on DyNpZn after structural relaxation.

Output
energy of formation from the pure elements: 148 meV per atom
uncorrected energy: -6.124 eV per atom

Cell: 3.1466 19.7781 4.1570 Å, 90.00 90.00 90.00°
With the nearest neighbours (Å) after each atom.
Space group Cmcm (No. 63)
One atom of each set of equivalent atoms:
Dy (0.0000, 0.1338, 0.2500) x4  5 Zn 3.02-3.05, 2 Dy 3.15, 4 Np 3.31
Np (0.0000, 0.4692, 0.2500) x4  2 Np 2.41
Zn (0.0000, 0.2864, 0.2500) x4  6 Zn 2.98-3.15, 5 Dy 3.02-3.05


VASP calculation (PBE) on Ce3Th2Pt2 after structural relaxation.

Output
energy of formation from the pure elements: -566 meV per atom
uncorrected energy: -6.955 eV per atom

Cell: 9.4089 5.4129 7.5510 Å, 90.00 114.56 90.00°
With the nearest neighbours (Å) after each atom.
Space group C2/m (No. 12)
One atom of each set of equivalent atoms:
Ce (0.0000, 0.0000, 0.0000) x2  2 Ce 2.73
Ce (0.1325, 0.0000, 0.3982) x4  1 Ce 2.73, 1 Pt 2.78
Th (0.0937, 0.5000, 0.7807) x4  4 Pt 2.86-3.14
Pt (0.2319, 0.5000, 0.1966) x4  1 Ce 2.78, 1 Th 2.86


VASP calculation (PBE) on AcTbGdCd after structural relaxation.

Output
energy of formation from the pure elements: 53 meV per atom
uncorrected energy: -5.881 eV per atom

Cell: 7.9854 7.9854 7.9854 Å, 90.00 90.00 90.00°
With the nearest neighbours (Å) after each atom.
Space group F-43m (No. 216)
One atom of each set of equivalent atoms:
Ac (0.0000, 0.0000, 0.0000) x4  4 Gd 3.46, 4 Tb 3.46
Tb (0.2500, 0.2500, 0.2500) x4  4 Cd 3.46, 4 Ac 3.46
Gd (0.2500, 0.2500, 0.7500) x4  4 Cd 3.46, 4 Ac 3.46
Cd (0.0000, 0.0000, 0.5000) x4  4 Tb 3.46, 4 Gd 3.46


VASP calculation (PBE) on Mg5TlPb after structural relaxation.

Output
energy of formation from the pure elements: -11 meV per atom
relative energy among the computed polymorphs: 0 meV per atom
uncorrected energy: -2.018 eV per atom

Cell: 4.9968 4.9968 7.0275 Å, 90.00 90.00 90.00°
With the nearest neighbours (Å) after each atom.
Space group P4/mmm (No. 123)
One atom of each set of equivalent atoms:
Mg (0.0000, 0.0000, 0.0000) x1  8 Mg 3.15, 2 Tl 3.51
Mg (0.0000, 0.5000, 0.2726) x4  2 Tl 2.97, 2 Pb 3.15, 3 Mg 3.15-3.20
Tl (0.0000, 0.0000, 0.5000) x1  8 Mg 2.97
Pb (0.5000, 0.5000, 0.0000) x1  8 Mg 3.15


VASP calculation (PBE) on Zr2PaSb after structural relaxation.

Output
energy relative to the elements, uncorrected: -0.0986 eV per atom
relative energy among the computed polymorphs: 252 meV per atom
uncorrected energy: -7.777 eV per atom

Cell: 5.9273 3.2088 10.2368 Å, 90.00 101.67 90.00°
With the nearest neighbours (Å) after each atom.
Space group Cm (No. 8)
One atom of each set of equivalent atoms:
Zr (0.0000, 0.0000, 0.0000) x2  3 Sb 3.04-3.11, 3 Pa 3.07-3.37, 6 Zr 3.21-3.37
Zr (0.1837, 0.0000, 0.5237) x2  3 Sb 3.03-3.07, 3 Pa 3.08-3.36, 6 Zr 3.21-3.37
Pa (0.3217, 0.5000, 0.2618) x2  6 Zr 3.07-3.37, 6 Pa 3.21-3.37
Sb (0.0823, 0.5000, 0.7613) x2  6 Zr 3.03-3.11, 6 Sb 3.21-3.37